Entry from Alexandria via LeMat-Bulk: a relaxed structure of BaMg2Re (PBE).

a = 5.5730 Å, b = 5.5730 Å, c = 3.0464 Å
α = 90.00°, β = 90.00°, γ = 107.79°
Positions (direct):
Ba: 0.0000 0.0000 0.0000
Mg: 0.0000 0.5000 0.5000
Mg: 0.5000 0.0000 0.5000
Re: 0.5000 0.5000 0.0000

Computed properties:
Fermi-level density of states, states/eV per cell: 4.09
Polymorph energy (0 for the lowest one), meV/atom: 295.5
Spin magnetization, μB/cell: 0.00
SG: Cmmm (65)
Uncorrected energy, eV per atom: -3.506


Entry from Alexandria via LeMat-Bulk: a relaxed structure of BaMgRe2 (PBE).

a = 6.9890 Å, b = 6.9890 Å, c = 6.9890 Å
α = 36.16°, β = 36.16°, γ = 36.16°
Positions (direct):
Ba: 0.0000 0.0000 0.0000
Mg: 0.8036 0.8036 0.8036
Re: 0.2069 0.2069 0.2069
Re: 0.5311 0.5311 0.5311

Computed properties:
Fermi-level density of states, states/eV per cell: 1.61
Spin magnetization, μB/cell: 0.00
SG: R3m (160)
Uncorrected energy, eV per atom: -6.722


Entry from Alexandria via LeMat-Bulk: a relaxed structure of BaMgRe2 (PBE).

a = 6.9074 Å, b = 6.9074 Å, c = 6.9074 Å
α = 148.83°, β = 139.17°, γ = 52.25°
Positions (direct):
Ba: 0.0000 0.0000 0.0000
Mg: 0.2526 0.7526 0.5000
Re: 0.6304 0.6304 0.0000
Re: 0.7464 0.2464 0.5000

Computed properties:
Fermi-level density of states, states/eV per cell: 4.87
Spin magnetization, μB/cell: 0.00
SG: Imm2 (44)
Uncorrected energy, eV per atom: -6.345


Entry from Alexandria via LeMat-Bulk: a relaxed structure of BaMg2Re (PBE).

a = 10.2640 Å, b = 10.2640 Å, c = 10.2640 Å
α = 151.29°, β = 151.29°, γ = 41.06°
Positions (direct):
Ba: 0.0000 0.0000 0.0000
Ba: 0.7500 0.2500 0.5000
Mg: 0.2918 0.6250 0.1668
Mg: 0.3750 0.5418 0.6668
Mg: 0.4582 0.1250 0.8332
Mg: 0.8750 0.7082 0.3332
Re: 0.2500 0.7500 0.5000
Re: 0.5000 0.5000 0.0000

Computed properties:
Fermi-level density of states, states/eV per cell: 7.48
Polymorph energy (0 for the lowest one), meV/atom: 433.1
Spin magnetization, μB/cell: 2.39
SG: I-42d (122)
Uncorrected energy, eV per atom: -3.369


Entry from Alexandria via LeMat-Bulk: a relaxed structure of BaMg2Re (PBE).

a = 5.5173 Å, b = 5.5173 Å, c = 5.5173 Å
α = 131.70°, β = 131.70°, γ = 70.70°
Positions (direct):
Ba: 0.0000 0.0000 0.0000
Mg: 0.2500 0.7500 0.5000
Mg: 0.7500 0.2500 0.5000
Re: 0.5000 0.5000 0.0000

Computed properties:
Fermi-level density of states, states/eV per cell: 3.30
Polymorph energy (0 for the lowest one), meV/atom: 222.5
Spin magnetization, μB/cell: 0.00
SG: I4/mmm (139)
Uncorrected energy, eV per atom: -3.579


Entry from Alexandria via LeMat-Bulk: a relaxed structure of BaMg2Re (PBE).

a = 5.1219 Å, b = 5.1219 Å, c = 5.1219 Å
α = 60.00°, β = 60.00°, γ = 60.00°
Positions (direct):
Ba: 0.0000 0.0000 0.0000
Mg: 0.2500 0.2500 0.2500
Mg: 0.7500 0.7500 0.7500
Re: 0.5000 0.5000 0.5000

Computed properties:
Fermi-level density of states, states/eV per cell: 4.42
Polymorph energy (0 for the lowest one), meV/atom: 243.8
Spin magnetization, μB/cell: 0.80
SG: Fm-3m (225)
Uncorrected energy, eV per atom: -3.558


Entry from Alexandria via LeMat-Bulk: a relaxed structure of BaMg2Re (PBE).

a = 6.7270 Å, b = 6.7270 Å, c = 6.7270 Å
α = 153.52°, β = 129.65°, γ = 57.78°
Positions (direct):
Ba: 0.0000 0.0000 0.0000
Mg: 0.3014 0.8014 0.5000
Mg: 0.6986 0.1986 0.5000
Re: 0.5000 0.5000 0.0000

Computed properties:
Fermi-level density of states, states/eV per cell: 3.20
Polymorph energy (0 for the lowest one), meV/atom: 104.6
Spin magnetization, μB/cell: 0.00
SG: Immm (71)
Uncorrected energy, eV per atom: -3.697


Entry from Alexandria via LeMat-Bulk: a relaxed structure of BaMg2Re (PBE).

a = 5.4829 Å, b = 5.4829 Å, c = 5.4829 Å
α = 128.47°, β = 128.47°, γ = 75.86°
Positions (direct):
Ba: 0.0000 0.0000 0.0000
Mg: 0.2500 0.7500 0.5000
Mg: 0.5000 0.5000 0.0000
Re: 0.7500 0.2500 0.5000

Computed properties:
Fermi-level density of states, states/eV per cell: 2.17
Polymorph energy (0 for the lowest one), meV/atom: 321.1
Spin magnetization, μB/cell: 1.00
SG: I-4m2 (119)
Uncorrected energy, eV per atom: -3.481


Entry from Alexandria via LeMat-Bulk: a relaxed structure of BaMgRe2 (PBE).

a = 4.8674 Å, b = 4.8674 Å, c = 4.8674 Å
α = 60.00°, β = 60.00°, γ = 60.00°
Positions (direct):
Ba: 0.0000 0.0000 0.0000
Mg: 0.7500 0.7500 0.7500
Re: 0.2500 0.2500 0.2500
Re: 0.5000 0.5000 0.5000

Computed properties:
Fermi-level density of states, states/eV per cell: 3.28
Spin magnetization, μB/cell: 0.00
SG: F-43m (216)
Uncorrected energy, eV per atom: -5.876


Entry from Alexandria via LeMat-Bulk: a relaxed structure of BaMgRe2 (PBE).

a = 5.9192 Å, b = 5.9192 Å, c = 2.8141 Å
α = 90.00°, β = 90.00°, γ = 122.75°
Positions (direct):
Ba: 0.0000 0.0000 0.0000
Mg: 0.5000 0.5000 0.0000
Re: 0.0000 0.5000 0.5000
Re: 0.5000 0.0000 0.5000

Computed properties:
Fermi-level density of states, states/eV per cell: 3.76
Spin magnetization, μB/cell: 0.00
SG: Cmmm (65)
Uncorrected energy, eV per atom: -5.768


Entry from Alexandria via LeMat-Bulk: a relaxed structure of BaMgRe2 (PBE).

a = 6.2493 Å, b = 6.2493 Å, c = 6.2493 Å
α = 153.51°, β = 132.10°, γ = 55.57°
Positions (direct):
Ba: 0.0000 0.0000 0.0000
Mg: 0.5000 0.5000 0.0000
Re: 0.2736 0.7736 0.5000
Re: 0.7264 0.2264 0.5000

Computed properties:
Fermi-level density of states, states/eV per cell: 4.39
Spin magnetization, μB/cell: 0.00
SG: Immm (71)
Uncorrected energy, eV per atom: -5.893


Entry from Alexandria via LeMat-Bulk: a relaxed structure of BaMgRe2Sb (PBE).

a = 4.9106 Å, b = 4.9106 Å, c = 5.5488 Å
α = 90.00°, β = 90.00°, γ = 90.00°
Positions (direct):
Ba: 0.0000 0.0000 0.0000
Mg: 0.0000 0.0000 0.5000
Re: 0.0000 0.5000 0.5000
Re: 0.5000 0.0000 0.5000
Sb: 0.5000 0.5000 0.0000

Computed properties:
Fermi-level density of states, states/eV per cell: 6.16
Spin magnetization, μB/cell: 3.80
SG: P4/mmm (123)
Uncorrected energy, eV per atom: -4.628


Entry from Alexandria via LeMat-Bulk: a relaxed structure of Ba2MgReSn (PBE).

a = 6.4346 Å, b = 6.4346 Å, c = 5.0528 Å
α = 90.00°, β = 90.00°, γ = 90.00°
Positions (direct):
Ba: 0.0000 0.5000 0.0000
Ba: 0.5000 0.0000 0.0000
Mg: 0.0000 0.0000 0.0000
Re: 0.5000 0.5000 0.5000
Sn: 0.0000 0.0000 0.5000

Computed properties:
Fermi-level density of states, states/eV per cell: 5.82
Spin magnetization, μB/cell: 3.66
SG: P4/mmm (123)
Uncorrected energy, eV per atom: -3.179


Entry from Alexandria via LeMat-Bulk: a relaxed structure of BaSr2MgRe (PBE).

a = 5.9224 Å, b = 5.9224 Å, c = 5.9111 Å
α = 90.00°, β = 90.00°, γ = 90.00°
Positions (direct):
Ba: 0.0000 0.0000 0.0000
Sr: 0.0000 0.5000 0.5000
Sr: 0.5000 0.0000 0.5000
Mg: 0.5000 0.5000 0.0000
Re: 0.0000 0.0000 0.5000

Computed properties:
Fermi-level density of states, states/eV per cell: 7.05
Spin magnetization, μB/cell: 0.00
SG: P4/mmm (123)
Uncorrected energy, eV per atom: -3.155


Entry from Alexandria via LeMat-Bulk: a relaxed structure of BaMg2Rh (PBE).

a = 6.5214 Å, b = 6.5214 Å, c = 3.3952 Å
α = 104.07°, β = 104.07°, γ = 124.18°
Positions (direct):
Ba: 0.0000 0.0000 0.0000
Mg: 0.0000 0.5000 0.5000
Mg: 0.5000 0.0000 0.5000
Rh: 0.5000 0.5000 0.0000

Computed properties:
Fermi-level density of states, states/eV per cell: 2.89
Spin magnetization, μB/cell: 0.00
SG: C2/m (12)
Uncorrected energy, eV per atom: -2.872